The following is a PBE calculation of an optimized crystal structure of BeAlO2, from Alexandria.

Cell: 4.2500 4.2500 8.3292 Å, 90.00 90.00 90.00°
With the nearest neighbours (Å) after each atom.
Fractional coordinates of all 16 atoms:
Be: 0.0000 0.0000 0.0000  4 O 1.74
Be: 0.0000 0.5000 0.2500  4 O 1.74
Be: 0.5000 0.0000 0.7500  4 O 1.74
Be: 0.5000 0.5000 0.5000  4 O 1.74
Al: 0.0000 0.0000 0.5000  4 O 1.93
Al: 0.0000 0.5000 0.7500  4 O 1.93
Al: 0.5000 0.0000 0.2500  4 O 1.93
Al: 0.5000 0.5000 0.0000  4 O 1.93
O: 0.2105 0.2500 0.1250  2 Be 1.74, 2 Al 1.93
O: 0.2500 0.7105 0.3750  2 Be 1.74, 2 Al 1.93
O: 0.2500 0.7895 0.8750  2 Be 1.74, 2 Al 1.93
O: 0.2895 0.2500 0.6250  2 Be 1.74, 2 Al 1.93
O: 0.7105 0.7500 0.6250  2 Be 1.74, 2 Al 1.93
O: 0.7500 0.2105 0.8750  2 Be 1.74, 2 Al 1.93
O: 0.7500 0.2895 0.3750  2 Be 1.74, 2 Al 1.93
O: 0.7895 0.7500 0.1250  2 Be 1.74, 2 Al 1.93

## Properties
energy above the most stable polymorph in this dataset = 0.089 eV/atom
size of the total moment = 0.0 μB/f.u.
symmetry = I-42d
E_form (uncorrected) = -2.011 eV per atom
E = -101.71 eV per cell